P | The following is a PBE calculation of a relaxed structure of Mg2Ir2Ru, from Alexandria.

SG: No. 139
density: 10570 kg/m3

abc: 6.9569 6.9569 6.9569
angles: 150.01 150.01 42.93
Last column: nearest neighbours and their distance in Å.
Atoms (fractional coordinates):
1 Mg 0.2500 0.7500 0.5000  4 Mg 2.55, 4 Ir 2.67
2 Mg 0.7500 0.2500 0.5000  4 Mg 2.55, 4 Ir 2.67
3 Ir 0.5979 0.5979 0.0000  1 Ir 2.54, 4 Mg 2.67
4 Ir 0.4021 0.4021 0.0000  1 Ir 2.54, 4 Mg 2.67
5 Ru 0.0000 0.0000 0.0000  8 Ir 2.84

=====

Q | The following is a PBE calculation of a relaxed structure of Mg2Ir2Ru, from Alexandria.

SG: No. 127
density: 10218 kg/m3

abc: 6.4552 6.4552 4.1661
angles: 90.00 90.00 90.00
Last column: nearest neighbours and their distance in Å.
Atoms (fractional coordinates):
1 Ru 0.0000 0.0000 0.0000  4 Ir 2.52
2 Ru 0.5000 0.5000 0.0000  4 Ir 2.52
3 Mg 0.1744 0.6744 0.5000  6 Ir 2.73-2.89
4 Mg 0.6744 0.8256 0.5000  6 Ir 2.73-2.89
5 Mg 0.8256 0.3256 0.5000  6 Ir 2.73-2.89
6 Mg 0.3256 0.1744 0.5000  6 Ir 2.73-2.89
7 Ir 0.3669 0.8669 0.0000  1 Ir 2.43, 2 Ru 2.52
8 Ir 0.8669 0.6331 0.0000  1 Ir 2.43, 2 Ru 2.52
9 Ir 0.6331 0.1331 0.0000  1 Ir 2.43, 2 Ru 2.52
10 Ir 0.1331 0.3669 0.0000  1 Ir 2.43, 2 Ru 2.52

=====

The energy of each structure relative to the most stable one, in kJ/mol of atoms, is as follows: P 56.7; Q 0.0.

=====

P | The following is a PBE calculation of a relaxed structure of MgIr3S, from Alexandria.

SG: No. 221
density: 12197 kg/m3

abc: 4.4170 4.4170 4.4170
angles: 90.00 90.00 90.00
Last column: nearest neighbours and their distance in Å.
Atoms (fractional coordinates):
1 S 0.0000 0.0000 0.0000  6 Ir 2.21
2 Ir 0.0000 0.5000 0.0000  2 S 2.21
3 Ir 0.0000 0.0000 0.5000  2 S 2.21
4 Ir 0.5000 0.0000 0.0000  2 S 2.21
5 Mg 0.5000 0.5000 0.5000  12 Ir 3.12

=====

Q | The following is a PBE calculation of a relaxed structure of MgIr3S, from Alexandria.

SG: No. 221
density: 11240 kg/m3

abc: 4.5391 4.5391 4.5391
angles: 90.00 90.00 90.00
Last column: nearest neighbours and their distance in Å.
Atoms (fractional coordinates):
1 S 0.5000 0.5000 0.5000  12 Ir 3.21
2 Ir 0.0000 0.5000 0.0000  2 Mg 2.27
3 Ir 0.0000 0.0000 0.5000  2 Mg 2.27
4 Ir 0.5000 0.0000 0.0000  2 Mg 2.27
5 Mg 0.0000 0.0000 0.0000  6 Ir 2.27

=====

The energy of each structure relative to the most stable one, in kJ/mol of atoms, is as follows: P 0.0; Q 158.4.

=====

P | The following is a PBE calculation of a relaxed structure of MgScIr3, from Alexandria.

SG: No. 221
density: 11815 kg/m3

abc: 4.4943 4.4943 4.4943
angles: 90.00 90.00 90.00
Last column: nearest neighbours and their distance in Å.
Atoms (fractional coordinates):
1 Sc 0.5000 0.5000 0.5000  12 Ir 3.18
2 Mg 0.0000 0.0000 0.0000  6 Ir 2.25
3 Ir 0.0000 0.5000 0.0000  2 Mg 2.25
4 Ir 0.0000 0.0000 0.5000  2 Mg 2.25
5 Ir 0.5000 0.0000 0.0000  2 Mg 2.25

=====

Q | The following is a PBE calculation of a relaxed structure of MgScIr3, from Alexandria.

SG: No. 221
density: 10309 kg/m3

abc: 4.7034 4.7034 4.7034
angles: 90.00 90.00 90.00
Last column: nearest neighbours and their distance in Å.
Atoms (fractional coordinates):
1 Sc 0.0000 0.0000 0.0000  6 Ir 2.35
2 Mg 0.5000 0.5000 0.5000  12 Ir 3.33
3 Ir 0.0000 0.5000 0.0000  2 Sc 2.35
4 Ir 0.0000 0.0000 0.5000  2 Sc 2.35
5 Ir 0.5000 0.0000 0.0000  2 Sc 2.35

=====

The energy of each structure relative to the most stable one, in kJ/mol of atoms, is as follows: P 0.0; Q 29.4.

=====

P | The following is a PBE calculation of a relaxed structure of Mg2ScIr2, from Alexandria.

SG: No. 65
density: 8695 kg/m3

abc: 3.1444 3.1597 9.3231
angles: 80.24 90.00 90.00
Last column: nearest neighbours and their distance in Å.
Atoms (fractional coordinates):
1 Mg 0.0000 0.1729 0.6541  4 Ir 2.70
2 Mg 0.0000 0.8271 0.3459  4 Ir 2.70
3 Sc 0.0000 0.0000 0.0000  8 Ir 2.78
4 Ir 0.5000 0.4100 0.1800  4 Mg 2.70, 4 Sc 2.78
5 Ir 0.5000 0.5900 0.8200  4 Mg 2.70, 4 Sc 2.78

=====

Q | The following is a PBE calculation of a relaxed structure of Mg2ScIr2, from Alexandria.

SG: No. 139
density: 8590 kg/m3

abc: 3.8713 3.8713 6.7461
angles: 73.33 73.33 90.00
Last column: nearest neighbours and their distance in Å.
Atoms (fractional coordinates):
1 Sc 0.0000 0.0000 0.0000  8 Ir 3.01
2 Mg 0.7500 0.2500 0.5000  4 Ir 2.66, 4 Mg 2.74
3 Mg 0.2500 0.7500 0.5000  4 Ir 2.66, 4 Mg 2.74
4 Ir 0.3979 0.3979 0.2043  1 Ir 2.52, 4 Mg 2.66
5 Ir 0.6021 0.6021 0.7957  1 Ir 2.52, 4 Mg 2.66

=====

The energy of each structure relative to the most stable one, in kJ/mol of atoms, is as follows: P 0.0; Q 25.7.

=====

P | The following is a PBE calculation of a relaxed structure of Mg2ScIr2, from Alexandria.

SG: No. 127
density: 9217 kg/m3

abc: 7.3982 7.3982 3.1468
angles: 90.00 90.00 90.00
Last column: nearest neighbours and their distance in Å.
Atoms (fractional coordinates):
1 Sc 0.0000 0.0000 0.0000  4 Ir 2.78
2 Sc 0.5000 0.5000 0.0000  4 Ir 2.78
3 Mg 0.1386 0.6386 0.5000  6 Ir 2.63-2.71, 1 Mg 2.90
4 Mg 0.6386 0.8614 0.5000  6 Ir 2.63-2.71, 1 Mg 2.90
5 Mg 0.8614 0.3614 0.5000  6 Ir 2.63-2.71, 1 Mg 2.90
6 Mg 0.3614 0.1386 0.5000  6 Ir 2.63-2.71, 1 Mg 2.90
7 Ir 0.3404 0.8404 0.0000  6 Mg 2.63-2.71, 2 Sc 2.78
8 Ir 0.8404 0.6596 0.0000  6 Mg 2.63-2.71, 2 Sc 2.78
9 Ir 0.6596 0.1596 0.0000  6 Mg 2.63-2.71, 2 Sc 2.78
10 Ir 0.1596 0.3404 0.0000  6 Mg 2.63-2.71, 2 Sc 2.78

=====

Q | The following is a PBE calculation of a relaxed structure of Mg2ScIr2, from Alexandria.

SG: No. 127
density: 9452 kg/m3

abc: 7.4613 7.4613 3.0170
angles: 90.00 90.00 90.00
Last column: nearest neighbours and their distance in Å.
Atoms (fractional coordinates):
1 Sc 0.0000 0.0000 0.0000  4 Mg 2.96, 2 Sc 3.02, 8 Ir 3.14
2 Sc 0.5000 0.5000 0.0000  4 Mg 2.96, 2 Sc 3.02, 8 Ir 3.14
3 Mg 0.3766 0.8766 0.0000  6 Ir 2.59-2.73, 1 Mg 2.60
4 Mg 0.8766 0.6234 0.0000  6 Ir 2.59-2.73, 1 Mg 2.60
5 Mg 0.6234 0.1234 0.0000  6 Ir 2.59-2.73, 1 Mg 2.60
6 Mg 0.1234 0.3766 0.0000  6 Ir 2.59-2.73, 1 Mg 2.60
7 Ir 0.1765 0.6765 0.5000  6 Mg 2.59-2.73
8 Ir 0.6765 0.8235 0.5000  6 Mg 2.59-2.73
9 Ir 0.8235 0.3235 0.5000  6 Mg 2.59-2.73
10 Ir 0.3235 0.1765 0.5000  6 Mg 2.59-2.73

=====

The energy of each structure relative to the most stable one, in kJ/mol of atoms, is as follows: P 0.0; Q 3.9.

=====

P | The following is a PBE calculation of a relaxed structure of MgSc4Ir, from Alexandria.

SG: No. 12
density: 4482 kg/m3

abc: 3.5901 5.4209 8.4303
angles: 73.04 77.71 70.66
Last column: nearest neighbours and their distance in Å.
Atoms (fractional coordinates):
1 Mg 0.5000 0.5000 0.5000  8 Sc 3.12-3.21
2 Sc 0.6224 0.6450 0.1102  2 Ir 2.56
3 Sc 0.3776 0.3550 0.8898  2 Ir 2.56
4 Sc 0.1640 0.9939 0.6781  1 Ir 2.66
5 Sc 0.8360 0.0061 0.3219  1 Ir 2.66
6 Ir 0.0000 0.0000 0.0000  6 Sc 2.56-2.66

=====

Q | The following is a PBE calculation of a relaxed structure of MgSc4Ir, from Alexandria.

SG: No. 216
density: 5283 kg/m3

abc: 5.6060 5.6060 5.6060
angles: 60.00 60.00 60.00
Last column: nearest neighbours and their distance in Å.
Atoms (fractional coordinates):
1 Mg 0.0000 0.0000 0.0000  12 Sc 3.29, 4 Ir 3.43
2 Sc 0.8684 0.3772 0.3772  6 Sc 2.75-2.85
3 Sc 0.3772 0.3772 0.8684  6 Sc 2.75-2.85
4 Sc 0.3772 0.8684 0.3772  6 Sc 2.75-2.85
5 Sc 0.3772 0.3772 0.3772  6 Sc 2.75-2.85
6 Ir 0.7500 0.7500 0.7500  12 Sc 3.28, 4 Mg 3.43

=====

The energy of each structure relative to the most stable one, in kJ/mol of atoms, is as follows: P 0.0; Q 43.0.

=====

P | The following is a PBE calculation of a relaxed structure of MgIr2Se, from Alexandria.

SG: No. 25
density: 12539 kg/m3

abc: 2.9548 3.9347 5.5554
angles: 90.00 90.00 90.00
Last column: nearest neighbours and their distance in Å.
Atoms (fractional coordinates):
1 Ir 0.0000 0.0000 0.9754  4 Se 2.64, 2 Mg 2.76-2.80, 6 Ir 2.89-2.95
2 Ir 0.5000 0.5000 0.2497  1 Se 2.48, 4 Mg 2.75
3 Mg 0.0000 0.0000 0.4715  6 Ir 2.75-2.80, 2 Mg 2.95, 4 Se 3.07
4 Se 0.5000 0.5000 0.8034  5 Ir 2.48-2.64

=====

Q | The following is a PBE calculation of a relaxed structure of MgIr2Se, from Alexandria.

SG: No. 99
density: 12303 kg/m3

abc: 2.9187 2.9187 7.7270
angles: 90.00 90.00 90.00
Last column: nearest neighbours and their distance in Å.
Atoms (fractional coordinates):
1 Ir 0.0000 0.0000 0.0081  8 Ir 2.73-2.92, 4 Se 2.73
2 Ir 0.5000 0.5000 0.2397  8 Ir 2.73-2.92, 4 Mg 2.76
3 Mg 0.0000 0.0000 0.4762  4 Ir 2.76, 4 Mg 2.92
4 Se 0.5000 0.5000 0.7760  4 Ir 2.73, 4 Se 2.92

=====

R | The following is a PBE calculation of a relaxed structure of MgIr2Se, from Alexandria.

SG: No. 65
density: 13055 kg/m3

abc: 4.5371 4.5371 3.0474
angles: 90.00 90.00 98.53
Last column: nearest neighbours and their distance in Å.
Atoms (fractional coordinates):
1 Ir 0.0000 0.0000 0.0000  4 Se 2.73, 4 Mg 2.73, 4 Ir 2.96-3.05
2 Ir 0.5000 0.5000 0.0000  4 Mg 2.73, 4 Se 2.73, 4 Ir 2.96-3.05
3 Mg 0.5000 0.0000 0.5000  8 Ir 2.73, 2 Se 2.96, 2 Mg 3.05
4 Se 0.0000 0.5000 0.5000  8 Ir 2.73, 2 Mg 2.96, 2 Se 3.05

=====

S | The following is a PBE calculation of a relaxed structure of MgIr2Se, from Alexandria.

SG: No. 225
density: 12981 kg/m3

abc: 4.4518 4.4518 4.4518
angles: 60.00 60.00 60.00
Last column: nearest neighbours and their distance in Å.
Atoms (fractional coordinates):
1 Mg 0.0000 0.0000 0.0000  8 Ir 2.73
2 Ir 0.2500 0.2500 0.2500  4 Se 2.73, 4 Mg 2.73
3 Ir 0.7500 0.7500 0.7500  4 Se 2.73, 4 Mg 2.73
4 Se 0.5000 0.5000 0.5000  8 Ir 2.73

=====

The energy of each structure relative to the most stable one, in kJ/mol of atoms, is as follows: P 0.0; Q 1.5; R 2.1; S 15.6.

=====

P | The following is a PBE calculation of a relaxed structure of MgIr2Se, from Alexandria.

SG: No. 44
density: 12631 kg/m3

abc: 5.4715 5.4715 5.4715
angles: 148.17 131.56 59.14
Last column: nearest neighbours and their distance in Å.
Atoms (fractional coordinates):
1 Ir 0.9838 0.9838 0.0000  2 Se 2.49, 4 Mg 2.71
2 Ir 0.2335 0.7335 0.5000  4 Se 2.73, 4 Ir 2.81-3.00, 2 Mg 3.01
3 Mg 0.5077 0.5077 0.0000  6 Ir 2.71-3.01, 2 Se 2.95, 2 Mg 3.00
4 Se 0.7750 0.2750 0.5000  6 Ir 2.49-2.73

=====

Q | The following is a PBE calculation of a relaxed structure of MgIr2Se, from Alexandria.

SG: No. 160
density: 12230 kg/m3

abc: 8.5453 8.5453 8.5453
angles: 20.38 20.38 20.38
Last column: nearest neighbours and their distance in Å.
Atoms (fractional coordinates):
1 Ir 0.0020 0.0020 0.0020  3 Se 2.55, 3 Ir 2.73
2 Ir 0.2515 0.2515 0.2515  3 Mg 2.69, 3 Ir 2.73
3 Mg 0.5035 0.5035 0.5035  3 Ir 2.69, 3 Se 2.93
4 Se 0.7429 0.7429 0.7429  3 Ir 2.55

=====

R | The following is a PBE calculation of a relaxed structure of MgIr2Se, from Alexandria.

SG: No. 12
density: 12974 kg/m3

abc: 4.6986 4.6986 4.8505
angles: 80.08 80.08 36.35
Last column: nearest neighbours and their distance in Å.
Atoms (fractional coordinates):
1 Ir 0.0023 0.0023 0.9999  3 Se 2.71-2.78, 3 Mg 2.74-2.75, 6 Ir 2.83-2.93
2 Ir 0.4977 0.4977 0.5001  3 Se 2.71-2.78, 3 Mg 2.74-2.75, 6 Ir 2.83-2.93
3 Mg 0.7500 0.7500 0.7500  6 Ir 2.74-2.75, 4 Se 2.83, 2 Mg 2.93
4 Se 0.2500 0.2500 0.2500  6 Ir 2.71-2.78, 4 Mg 2.83, 2 Se 2.93

=====

S | The following is a PBE calculation of a relaxed structure of MgIr2Se, from Alexandria.

SG: No. 166
density: 12708 kg/m3

abc: 8.5683 8.5683 8.5683
angles: 19.90 19.90 19.90
Last column: nearest neighbours and their distance in Å.
Atoms (fractional coordinates):
1 Ir 0.0039 0.0039 0.0039  3 Se 2.63, 3 Mg 2.78
2 Ir 0.4961 0.4961 0.4961  3 Se 2.63, 3 Mg 2.78
3 Mg 0.2500 0.2500 0.2500  6 Ir 2.78, 6 Mg 2.96
4 Se 0.7500 0.7500 0.7500  6 Ir 2.63

=====

The energy of each structure relative to the most stable one, in kJ/mol of atoms, is as follows: P 4.5; Q 15.3; R 0.0; S 10.0.

=====

P | The following is a PBE calculation of a relaxed structure of MgIrSe, from Alexandria.

SG: No. 187
density: 9497 kg/m3

abc: 4.2963 4.2963 3.2322
angles: 90.00 90.00 120.00
Last column: nearest neighbours and their distance in Å.
Atoms (fractional coordinates):
1 Ir 0.0000 0.0000 0.8332  3 Se 2.48
2 Mg 0.6667 0.3333 0.3335  6 Ir 2.96, 6 Se 2.96, 2 Mg 3.23
3 Se 0.3333 0.6667 0.8333  3 Ir 2.48

=====

Q | The following is a PBE calculation of a relaxed structure of MgIrSe, from Alexandria.

SG: No. 216
density: 8671 kg/m3

abc: 4.3093 4.3093 4.3093
angles: 60.00 60.00 60.00
Last column: nearest neighbours and their distance in Å.
Atoms (fractional coordinates):
1 Ir 0.7500 0.7500 0.7500  4 Se 2.64, 4 Mg 2.64
2 Mg 0.0000 0.0000 0.0000  4 Ir 2.64
3 Se 0.5000 0.5000 0.5000  4 Ir 2.64

=====

R | The following is a PBE calculation of a relaxed structure of MgIrSe, from Alexandria.

SG: No. 156
density: 8918 kg/m3

abc: 3.2602 3.2602 5.9773
angles: 90.00 90.00 120.00
Last column: nearest neighbours and their distance in Å.
Atoms (fractional coordinates):
1 Ir 0.0000 0.0000 0.9810  3 Se 2.52, 3 Mg 2.75
2 Mg 0.6667 0.3333 0.3172  3 Ir 2.75, 3 Se 2.97
3 Se 0.3333 0.6667 0.7018  3 Ir 2.52

=====

S | The following is a PBE calculation of a relaxed structure of MgIrSe, from Alexandria.

SG: No. 187
density: 8790 kg/m3

abc: 3.3299 3.3295 11.6277
angles: 90.00 90.00 120.00
Last column: nearest neighbours and their distance in Å.
Atoms (fractional coordinates):
1 Ir 0.4446 0.8892 0.0000  6 Se 2.55
2 Ir 0.4443 0.8885 0.5000  6 Mg 2.68
3 Mg 0.7776 0.5552 0.3395  3 Ir 2.68, 3 Se 2.97
4 Mg 0.7776 0.5552 0.6605  3 Ir 2.68, 3 Se 2.97
5 Se 0.1113 0.2225 0.8554  3 Ir 2.55
6 Se 0.1113 0.2225 0.1446  3 Ir 2.55

=====

The energy of each structure relative to the most stable one, in kJ/mol of atoms, is as follows: P 0.0; Q 5.7; R 16.8; S 21.2.

=====

P | The following is a PBE calculation of a relaxed structure of MgIrSe, from Alexandria.

SG: No. 107
density: 9366 kg/m3

abc: 6.0383 6.0383 3.0475
angles: 75.38 75.38 29.23
Last column: nearest neighbours and their distance in Å.
Atoms (fractional coordinates):
1 Ir 0.9951 0.9951 0.0049  4 Se 2.68, 4 Mg 2.78
2 Mg 0.6511 0.6511 0.3489  4 Ir 2.78, 4 Mg 3.05
3 Se 0.3537 0.3537 0.6463  4 Ir 2.68

=====

Q | The following is a PBE calculation of a relaxed structure of MgIrSe, from Alexandria.

SG: No. 44
density: 9674 kg/m3

abc: 4.8165 4.8165 4.8165
angles: 141.22 132.83 62.65
Last column: nearest neighbours and their distance in Å.
Atoms (fractional coordinates):
1 Ir 0.9823 0.9823 0.0000  1 Se 2.51, 4 Mg 2.76
2 Mg 0.3405 0.3405 0.0000  5 Ir 2.76-2.95, 5 Se 2.77-2.84
3 Se 0.6772 0.6772 0.0000  1 Ir 2.51, 1 Mg 2.77

=====

The energy of each structure relative to the most stable one, in kJ/mol of atoms, is as follows: P 0.0; Q 2.1.

=====

P | The following is a PBE calculation of a relaxed structure of MgIr3Se, from Alexandria.

SG: No. 221
density: 11619 kg/m3

abc: 4.5974 4.5974 4.5974
angles: 90.00 90.00 90.00
Last column: nearest neighbours and their distance in Å.
Atoms (fractional coordinates):
1 Mg 0.5000 0.5000 0.5000  12 Ir 3.25
2 Ir 0.0000 0.5000 0.0000  2 Se 2.30
3 Ir 0.0000 0.0000 0.5000  2 Se 2.30
4 Ir 0.5000 0.0000 0.0000  2 Se 2.30
5 Se 0.0000 0.0000 0.0000  6 Ir 2.30

=====

Q | The following is a PBE calculation of a relaxed structure of MgIr3Se, from Alexandria.

SG: No. 221
density: 11993 kg/m3

abc: 4.5491 4.5491 4.5491
angles: 90.00 90.00 90.00
Last column: nearest neighbours and their distance in Å.
Atoms (fractional coordinates):
1 Mg 0.0000 0.0000 0.0000  6 Ir 2.27
2 Ir 0.0000 0.5000 0.0000  2 Mg 2.27
3 Ir 0.0000 0.0000 0.5000  2 Mg 2.27
4 Ir 0.5000 0.0000 0.0000  2 Mg 2.27
5 Se 0.5000 0.5000 0.5000  12 Ir 3.22

=====

The energy of each structure relative to the most stable one, in kJ/mol of atoms, is as follows: P 0.0; Q 92.4.